Entry 1:
Below is a relaxed structure of NaNb2Sb2, with properties calculated at the PBE level.

## Properties
Energy relative to the elements, uncorrected ... -0.1235 eV per atom
Density of states at the Fermi level ... 4.0 states/eV per cell

a = 4.2186 Å, b = 4.2186 Å, c = 13.5762 Å
α = 90.00°, β = 90.00°, γ = 90.00°
With the nearest neighbours (Å) after each atom.
Space group I4/mmm (No. 139)
Unique sites:
Na 0.0000 0.0000 0.0000 (multiplicity 2)  8 Sb 3.34
Nb 0.0000 0.5000 0.2500 (multiplicity 4)  4 Sb 2.83, 4 Nb 2.98
Sb 0.0000 0.0000 0.3885 (multiplicity 4)  4 Nb 2.83, 1 Sb 3.03

Entry 2:
Below is a relaxed structure of NaNbSb2, with properties calculated at the PBE level.

## Properties
Energy relative to the elements, uncorrected ... 0.2232 eV per atom
Density of states at the Fermi level ... 0.0 states/eV per cell

a = 7.0630 Å, b = 7.0630 Å, c = 12.1948 Å
α = 90.00°, β = 90.00°, γ = 90.00°
With the nearest neighbours (Å) after each atom.
Space group I-42d (No. 122)
Unique sites:
Na 0.0000 0.0000 0.0000 (multiplicity 4)  4 Sb 3.22
Nb 0.0000 0.0000 0.5000 (multiplicity 4)  4 Sb 2.67
Sb 0.1848 0.2500 0.6250 (multiplicity 8)  2 Nb 2.67

Entry 3:
Below is a relaxed structure of Na2NbSb2, with properties calculated at the PBE level.

## Properties
Energy relative to the elements, uncorrected ... -0.0008 eV per atom
Density of states at the Fermi level ... 4.5 states/eV per cell

a = 7.3779 Å, b = 7.3779 Å, c = 5.0806 Å
α = 90.00°, β = 90.00°, γ = 90.00°
With the nearest neighbours (Å) after each atom.
Space group P4/mbm (No. 127)
Unique sites:
Na 0.1695 0.3305 0.0000 (multiplicity 4)  6 Sb 3.20-3.44, 1 Na 3.54
Nb 0.0000 0.0000 0.5000 (multiplicity 2)  4 Sb 2.83
Sb 0.1438 0.6438 0.5000 (multiplicity 4)  2 Nb 2.83, 1 Sb 3.00

Entry 4:
Below is a relaxed structure of NaNb3Sb, with properties calculated at the PBE level.

## Properties
Energy relative to the elements, uncorrected ... 1.7729 eV per atom
Density of states at the Fermi level ... 7.5 states/eV per cell

a = 4.7120 Å, b = 4.7120 Å, c = 4.7120 Å
α = 90.00°, β = 90.00°, γ = 90.00°
With the nearest neighbours (Å) after each atom.
Space group Pm-3m (No. 221)
Unique sites:
Na 0.0000 0.0000 0.0000 (multiplicity 1)  6 Nb 2.36
Nb 0.0000 0.0000 0.5000 (multiplicity 3)  2 Na 2.36
Sb 0.5000 0.5000 0.5000 (multiplicity 1)  12 Nb 3.33

Entry 5:
Below is a relaxed structure of NaNbSb3, with properties calculated at the PBE level.

## Properties
Energy relative to the elements, uncorrected ... 0.0860 eV per atom
Density of states at the Fermi level ... 2.2 states/eV per cell

a = 5.4232 Å, b = 5.4232 Å, c = 5.4232 Å
α = 90.00°, β = 90.00°, γ = 90.00°
With the nearest neighbours (Å) after each atom.
Space group Pm-3m (No. 221)
Unique sites:
Na 0.0000 0.0000 0.0000 (multiplicity 1)  12 Sb 3.83
Nb 0.5000 0.5000 0.5000 (multiplicity 1)  6 Sb 2.71
Sb 0.0000 0.5000 0.5000 (multiplicity 3)  2 Nb 2.71

Entry 6:
Below is a relaxed structure of NaNbSb2, with properties calculated at the PBE level.

## Properties
Energy relative to the elements, uncorrected ... -0.2359 eV per atom
Density of states at the Fermi level ... 3.8 states/eV per cell

a = 3.5459 Å, b = 3.5459 Å, c = 27.3238 Å
α = 90.00°, β = 90.00°, γ = 120.00°
With the nearest neighbours (Å) after each atom.
Space group R-3m (No. 166, hexagonal axes)
Unique sites:
Na 0.0000 0.0000 0.0000 (multiplicity 3)  6 Sb 3.29, 6 Na 3.55
Nb 0.0000 0.0000 0.5000 (multiplicity 3)  6 Sb 2.85
Sb 0.0000 0.0000 0.2390 (multiplicity 6)  3 Nb 2.85